A relaxed structure of Nd3TiSe6, computed with PBE.

Calculated values
DOS at the Fermi energy	10.28	states/eV per cell
E	-118.79	eV/cell

```
Nd3TiSe6
1.0
6.8675 0.0000 0.0000
0.0000 7.6054 0.0000
-6.3388 0.0000 10.2380
Nd Ti Se
6 2 12
Direct
0.0000 0.0000 0.0000 Nd
0.0000 0.5000 0.5000 Nd
0.3067 0.1101 0.7590 Nd
0.3067 0.3899 0.2590 Nd
0.6933 0.6101 0.7410 Nd
0.6933 0.8899 0.2410 Nd
0.5000 0.0000 0.5000 Ti
0.5000 0.5000 0.0000 Ti
0.1222 0.0425 0.2697 Se
0.1222 0.4575 0.7697 Se
0.2565 0.6708 0.0717 Se
0.2565 0.8292 0.5717 Se
0.4126 0.1941 0.0689 Se
0.4126 0.3059 0.5689 Se
0.5874 0.6941 0.4311 Se
0.5874 0.8059 0.9311 Se
0.7435 0.1708 0.4283 Se
0.7435 0.3292 0.9283 Se
0.8778 0.5425 0.2303 Se
0.8778 0.9575 0.7303 Se
```